# 1
This record from Alexandria via LeMat-Bulk describes crystalline Tb2HoGe2Pt7 at its relaxed geometry. The functional is PBE-GGA.

Output
The theoretical density comes out at 14.5 g/cm³. The space group is C2/m, No. 12. The calculation puts the formation energy at -1.001 eV/atom. As for the volume: 229 Å³/f.u.

Cell lengths 4.057, 4.057, 14.076 Å; angles 83.46, 83.46, 89.43 degrees
Positions (direct):
Ge 0.602 0.602 0.742
Ge 0.398 0.398 0.258
Pt 0.500 0.500 0.000
Pt 0.939 0.439 0.155
Pt 0.637 0.637 0.568
Pt 0.363 0.363 0.432
Pt 0.061 0.561 0.845
Pt 0.561 0.061 0.845
Pt 0.439 0.939 0.155
Tb 0.124 0.124 0.642
Tb 0.876 0.876 0.358
Ho 0.000 0.000 0.000

# 2
This record from Alexandria via LeMat-Bulk describes crystalline TaAgPb2 at its relaxed geometry. The functional is PBE-GGA.

Output
The theoretical density comes out at 13.0 g/cm³. The space group is Cmmm, No. 65. The calculation puts the formation energy at 0.497 eV/atom. As for the volume: 90 Å³/f.u.

Cell lengths 5.292, 5.292, 3.207 Å; angles 90.00, 90.00, 89.94 degrees
Positions (direct):
Pb 0.000 0.000 0.000
Pb 0.500 0.500 0.000
Ag 0.000 0.500 0.500
Ta 0.500 0.000 0.500

# 3
This record from Alexandria via LeMat-Bulk describes crystalline Nd6In3Au at its relaxed geometry. The functional is PBE-GGA.

Output
The theoretical density comes out at 7.5 g/cm³. The space group is Pnnm, No. 58. The calculation puts the formation energy at -0.379 eV/atom. As for the volume: 310 Å³/f.u.

Cell lengths 5.379, 9.416, 12.223 Å; angles 90.00, 90.01, 90.00 degrees
Positions (direct):
Nd 0.500 0.837 0.086
Nd 0.500 0.825 0.414
Nd 0.000 0.663 0.586
Nd 0.000 0.675 0.914
Nd 0.000 0.325 0.086
Nd 0.000 0.337 0.414
Nd 0.500 0.495 0.257
Nd 0.500 0.175 0.586
Nd 0.500 0.505 0.743
Nd 0.000 0.995 0.243
Nd 0.000 0.005 0.757
Nd 0.500 0.163 0.914
In 0.000 0.662 0.228
In 0.000 0.000 0.500
In 0.500 0.838 0.728
In 0.500 0.500 0.000
In 0.000 0.338 0.772
In 0.500 0.162 0.272
Au 0.000 0.000 0.000
Au 0.500 0.500 0.500

# 4
This record from Alexandria via LeMat-Bulk describes crystalline K2ZrTl at its relaxed geometry. The functional is PBE-GGA.

Output
The theoretical density comes out at 4.1 g/cm³. The space group is Fm-3m, No. 225. The calculation puts the formation energy at 0.938 eV/atom. As for the volume: 152 Å³/f.u.

Cell lengths 5.985, 5.985, 5.985 Å; angles 60.00, 60.00, 60.00 degrees
Site moments in Bohr magnetons follow the coordinates.
Positions (direct):
Tl 0.500 0.500 0.500  -0.05
K 0.250 0.250 0.250  0.02
K 0.750 0.750 0.750  0.02
Zr 0.000 0.000 0.000  1.29

# 5
This record from Alexandria via LeMat-Bulk describes crystalline Pu2Br3 at its relaxed geometry. The functional is PBE-GGA.

Output
The theoretical density comes out at 7.6 g/cm³. For the formation energy without anion corrections, the calculation gives -1.093 eV per atom. The space group is R-3c, No. 167. As for the volume: 159 Å³/f.u.

Cell lengths 7.053, 7.053, 8.427 Å; angles 65.26, 65.26, 60.00 degrees
Site moments in Bohr magnetons follow the coordinates.
Positions (direct):
Pu 0.829 0.829 0.513  5.95
Pu 0.671 0.671 0.987  5.95
Pu 0.171 0.171 0.487  5.95
Pu 0.329 0.329 0.013  5.95
Br 0.596 0.904 0.250  -0.04
Br 0.750 0.404 0.750  -0.04
Br 0.904 0.250 0.250  -0.04
Br 0.250 0.596 0.250  -0.04
Br 0.404 0.096 0.750  -0.04
Br 0.096 0.750 0.750  -0.04

# 6
This record from Alexandria via LeMat-Bulk describes crystalline LaHgBr at its relaxed geometry. The functional is PBE-GGA.

Output
The theoretical density comes out at 7.1 g/cm³. For the formation energy without anion corrections, the calculation gives -0.844 eV per atom. The space group is I4mm, No. 107. As for the volume: 99 Å³/f.u.

Cell lengths 7.362, 7.361, 3.794 Å; angles 75.08, 75.08, 29.87 degrees
Positions (direct):
Hg 0.304 0.304 0.696
Br 0.036 0.036 0.964
La 0.660 0.660 0.340

# 7
This record from Alexandria via LeMat-Bulk describes crystalline YReW at its relaxed geometry. The functional is PBE-GGA.

Output
The theoretical density comes out at 13.2 g/cm³. The space group is I4mm, No. 107. The calculation puts the formation energy at 0.190 eV/atom. As for the volume: 58 Å³/f.u.

Cell lengths 5.978, 5.978, 5.978 Å; angles 148.64, 148.64, 44.94 degrees
Positions (direct):
Re 0.978 0.978 0.000
W 0.357 0.357 0.000
Y 0.665 0.665 0.000

# 8
This record from Alexandria via LeMat-Bulk describes crystalline CaIn at its relaxed geometry. The functional is PBE-GGA.

Output
The theoretical density comes out at 2.4 g/cm³. The space group is I-43m, No. 217. The calculation puts the formation energy at 0.079 eV/atom. As for the volume: 108 Å³/f.u.

Cell lengths 9.522, 9.522, 9.522 Å; angles 90.00, 90.00, 90.00 degrees
Positions (direct):
In 0.887 0.887 0.887
In 0.387 0.613 0.613
In 0.387 0.387 0.387
In 0.613 0.613 0.387
In 0.113 0.887 0.113
In 0.887 0.113 0.113
In 0.613 0.387 0.613
In 0.113 0.113 0.887
Ca 0.700 0.300 0.300
Ca 0.200 0.800 0.800
Ca 0.200 0.200 0.200
Ca 0.800 0.200 0.800
Ca 0.300 0.700 0.300
Ca 0.300 0.300 0.700
Ca 0.700 0.700 0.700
Ca 0.800 0.800 0.200